(1)
The following is a DFT calculation (PBE-GGA) of a geometry-optimized Mg2ZnGeAu4 structure.

a b c (Å): 4.6291 4.6291 8.1101
angles (deg): 73.42 73.42 60.00
Last column: nearest neighbours and their distance in Å.
Sites, in units of the cell vectors:
Ge: 0.0000 0.0000 0.0000  8 Au 2.86-2.99
Au: 0.8698 0.8698 0.3906  4 Mg 2.77-2.89, 3 Zn 2.80, 1 Ge 2.99
Zn: 0.5000 0.5000 0.5000  8 Au 2.80-2.81
Au: 0.6223 0.6223 0.1330  1 Zn 2.81, 4 Mg 2.81-2.92, 3 Ge 2.86
Mg: 0.2507 0.2507 0.2478  8 Au 2.77-2.92
Mg: 0.7493 0.7493 0.7522  8 Au 2.77-2.92
Au: 0.1302 0.1302 0.6094  4 Mg 2.77-2.89, 3 Zn 2.80, 1 Ge 2.99
Au: 0.3777 0.3777 0.8670  1 Zn 2.81, 4 Mg 2.81-2.92, 3 Ge 2.86

Properties
- symmetry = No. 166
- formation enthalpy at 0 K (meV per atom) = -338
- magnetization (μB/cell) = 0.00
- theoretical density (g cm⁻³) = 11.4

(2)
The following is a DFT calculation (PBE-GGA) of a geometry-optimized PrGa2Ni2Ir structure.

a b c (Å): 4.7005 4.7005 5.4278
angles (deg): 90.00 90.00 90.00
Last column: nearest neighbours and their distance in Å.
Sites, in units of the cell vectors:
Pr: 0.0000 0.0000 0.5000  2 Ir 2.71
Ni: 0.5000 0.5000 0.7501  2 Ni 2.71-2.72, 4 Ga 2.71
Ir: 0.0000 0.0000 0.0000  4 Ga 2.35
Ga: 0.5000 0.0000 0.0000  2 Ir 2.35
Ga: 0.0000 0.5000 0.0000  2 Ir 2.35
Ni: 0.5000 0.5000 0.2499  2 Ni 2.71-2.72, 4 Ga 2.71

Properties
- symmetry = No. 123
- formation enthalpy at 0 K (meV per atom) = -64
- magnetization (μB/cell) = 0.00
- theoretical density (g cm⁻³) = 8.2

(3)
The following is a DFT calculation (PBE-GGA) of a geometry-optimized LaNdAl2Ge structure.

a b c (Å): 4.4263 4.5877 7.1228
angles (deg): 108.79 108.10 90.00
Last column: nearest neighbours and their distance in Å.
Sites, in units of the cell vectors:
Nd: 0.2007 0.7007 0.4014  2 Ge 2.93, 6 Al 3.02-3.21
Ge: 0.8514 0.8514 0.7028  1 Al 2.49
Al: 0.0466 0.0466 0.0932  1 Ge 2.49, 2 Al 2.72
Al: 0.6710 0.1710 0.3419  2 Al 2.72
La: 0.4425 0.4425 0.8850  4 Ge 3.39, 6 Al 3.45-3.71

Properties
- symmetry = No. 44
- formation enthalpy at 0 K (meV per atom) = -469
- magnetization (μB/cell) = 0.00
- theoretical density (g cm⁻³) = 5.3

(4)
The following is a DFT calculation (PBE-GGA) of a geometry-optimized KInRe structure.

a b c (Å): 8.5763 8.4347 2.8709
angles (deg): 83.08 77.51 19.41
Last column: nearest neighbours and their distance in Å.
Sites, in units of the cell vectors:
K: 0.3289 0.3289 0.6711  4 K 2.87
Re: 0.6559 0.6559 0.3441  4 Re 2.87, 2 In 2.88
In: 0.0153 0.0153 0.9847  4 In 2.87, 2 Re 2.88

Properties
- symmetry = No. 42
- E above lowest polymorph (eV/atom) = 0.0000
- formation enthalpy at 0 K (meV per atom) = 900
- magnetization (μB/cell) = 0.00
- theoretical density (g cm⁻³) = 8.7

(5)
The following is a DFT calculation (PBE-GGA) of a geometry-optimized Dy6Tc2Bi structure.

a b c (Å): 8.5929 8.5929 8.5929
angles (deg): 104.80 112.64 111.07
Last column: nearest neighbours and their distance in Å.
Sites, in units of the cell vectors:
Dy: 0.7850 0.5420 0.7569  1 Tc 2.79
Dy: 0.6846 0.3331 0.0176  3 Tc 2.88-2.97
Bi: 0.0000 0.5000 0.5000  12 Dy 3.41-3.70
Tc: 0.6677 0.6677 0.0000  8 Dy 2.79-3.04
Tc: 0.3323 0.3323 0.0000  8 Dy 2.79-3.04
Bi: 0.0000 0.0000 0.0000  8 Dy 3.23-3.30, 2 Tc 3.23
Dy: 0.5332 0.8144 0.7188  3 Tc 3.01-3.04, 1 Bi 3.23
Dy: 0.7850 0.0281 0.2431  1 Tc 2.79
Dy: 0.3154 0.6669 0.9824  3 Tc 2.88-2.97
Tc: 0.5000 0.8847 0.3847  1 Tc 2.42
Dy: 0.2150 0.4580 0.2431  1 Tc 2.79
Dy: 0.4668 0.1856 0.2812  3 Tc 3.01-3.04, 1 Bi 3.23
Dy: 0.3154 0.3331 0.6485  3 Tc 2.88-2.97
Dy: 0.6846 0.6669 0.3515  3 Tc 2.88-2.97
Dy: 0.2150 0.9719 0.7569  1 Tc 2.79
Dy: 0.0956 0.8144 0.2812  3 Tc 3.01-3.04, 1 Bi 3.23
Dy: 0.9044 0.1856 0.7188  3 Tc 3.01-3.04, 1 Bi 3.23
Tc: 0.5000 0.1153 0.6153  1 Tc 2.42

Properties
- symmetry = No. 71
- formation enthalpy at 0 K (meV per atom) = -250
- magnetization (μB/cell) = 0.00
- theoretical density (g cm⁻³) = 9.4

(6)
The following is a DFT calculation (PBE-GGA) of a geometry-optimized Zn5Si3 structure.

a b c (Å): 7.7389 7.7389 4.9443
angles (deg): 90.00 90.00 120.00
Last column: nearest neighbours and their distance in Å.
Sites, in units of the cell vectors:
Zn: 0.3333 0.6667 0.5000  2 Zn 2.47, 6 Si 2.64
Si: 0.0000 0.4122 0.7500  9 Zn 2.64-2.94, 2 Si 2.82
Zn: 0.7923 0.0000 0.7500  5 Si 2.76-2.94, 6 Zn 2.78-2.95
Si: 0.5878 0.5878 0.7500  9 Zn 2.64-2.94, 2 Si 2.82
Zn: 0.2077 0.0000 0.2500  5 Si 2.76-2.94, 6 Zn 2.78-2.95
Si: 0.4122 0.4122 0.2500  9 Zn 2.64-2.94, 2 Si 2.82
Zn: 0.7923 0.7923 0.2500  5 Si 2.76-2.94, 6 Zn 2.78-2.95
Zn: 0.0000 0.2077 0.2500  5 Si 2.76-2.94, 6 Zn 2.78-2.95
Zn: 0.0000 0.7923 0.7500  5 Si 2.76-2.94, 6 Zn 2.78-2.95
Si: 0.5878 0.0000 0.2500  9 Zn 2.64-2.94, 2 Si 2.82
Zn: 0.2077 0.2077 0.7500  5 Si 2.76-2.94, 6 Zn 2.78-2.95
Si: 0.0000 0.5878 0.2500  9 Zn 2.64-2.94, 2 Si 2.82
Zn: 0.3333 0.6667 0.0000  2 Zn 2.47, 6 Si 2.64
Zn: 0.6667 0.3333 0.0000  2 Zn 2.47, 6 Si 2.64
Zn: 0.6667 0.3333 0.5000  2 Zn 2.47, 6 Si 2.64
Si: 0.4122 0.0000 0.7500  9 Zn 2.64-2.94, 2 Si 2.82

Properties
- symmetry = No. 193
- E above lowest polymorph (eV/atom) = 0.0808
- magnetization (μB/cell) = 0.00
- theoretical density (g cm⁻³) = 5.3
- E_form (uncorrected) (kJ/mol of formula units) = 230

(7)
The following is a DFT calculation (PBE-GGA) of a geometry-optimized NiPbBr2 structure.

a b c (Å): 8.6238 8.6238 6.7183
angles (deg): 50.07 50.07 90.00
Last column: nearest neighbours and their distance in Å.
Sites, in units of the cell vectors:
Br: 0.4911 0.1250 0.2500  2 Ni 2.48
Pb: 0.7500 0.2500 0.5000  2 Ni 2.82
Br: 0.8750 0.7411 0.7500  2 Ni 2.48
Br: 0.2589 0.6250 0.2500  2 Ni 2.48
Br: 0.3750 0.5089 0.7500  2 Ni 2.48
Pb: 0.0000 0.0000 0.0000  2 Ni 2.82
Ni: 0.5000 0.5000 0.0000  4 Br 2.48
Ni: 0.2500 0.7500 0.5000  4 Br 2.48

Properties
- symmetry = No. 122
- E above lowest polymorph (eV/atom) = 0.1838
- magnetization (μB/cell) = 0.00
- theoretical density (g cm⁻³) = 6.7
- E_form (uncorrected) (kJ/mol of formula units) = -57

(8)
The following is a DFT calculation (PBE-GGA) of a geometry-optimized Mg2BeHRh structure.

a b c (Å): 4.9606 4.1148 4.9606
angles (deg): 90.00 90.00 90.00
Last column: nearest neighbours and their distance in Å.
Sites, in units of the cell vectors:
Mg: 0.5000 0.0000 0.0000  2 Rh 2.48
Mg: 0.0000 0.0000 0.5000  2 Rh 2.48
H: 0.5000 0.5000 0.5000  8 Mg 3.22, 4 Be 3.51
Rh: 0.0000 0.0000 0.0000  2 Be 2.06
Be: 0.0000 0.5000 0.0000  2 Rh 2.06

Properties
- symmetry = No. 123
- total DFT energy (no corrections) (eV per atom) = -3.0027
- magnetization (μB/cell) = 0.00
- theoretical density (g cm⁻³) = 2.6

Q: The lowest theoretical density belongs to which entry?
A: Mg2BeHRh